Entry 1:
Here is a relaxed structure of TcSb2TeAs from Alexandria via LeMat-Bulk. Energies are from PBE-GGA.

## Properties
formation energy (no corrections) = 1266 meV/atom
magnetic moment = 3.3 μB/cell
offset from the most stable computed form = 3.303 eV per formula unit

CIF file:
```
data_TcSb2TeAs
_chemical_formula_sum 'Tc1 Sb2 Te1 As1'
_space_group_name_H-M_alt 'P 4/m m m'
_space_group_IT_number 123
_space_group_name_Hall '-P 4 2'
_cell_length_a 5.2680
_cell_length_b 5.2680
_cell_length_c 5.4332
_cell_angle_alpha 90.00
_cell_angle_beta 90.00
_cell_angle_gamma 90.00
loop_
_atom_site_label
_atom_site_fract_x
_atom_site_fract_y
_atom_site_fract_z
_atom_site_occupancy
Tc1 0.0000 0.0000 0.0000 1
Sb1 0.0000 0.5000 0.5000 1
Te1 0.5000 0.5000 0.0000 1
As1 0.5000 0.5000 0.5000 1
```

***

Entry 2:
Here is a relaxed structure of PuSc2Ga3 from Alexandria via LeMat-Bulk. Energies are from PBE-GGA.

## Properties
DFT formation energy = -486 meV/atom
magnetic moment = 5.0 μB/cell

CIF file:
```
data_PuSc2Ga3
_chemical_formula_sum 'Pu1 Sc2 Ga3'
_space_group_name_H-M_alt 'P 4/m m m'
_space_group_IT_number 123
_space_group_name_Hall '-P 4 2'
_cell_length_a 3.1324
_cell_length_b 3.1324
_cell_length_c 12.1435
_cell_angle_alpha 90.00
_cell_angle_beta 90.00
_cell_angle_gamma 90.00
loop_
_atom_site_label
_atom_site_fract_x
_atom_site_fract_y
_atom_site_fract_z
_atom_site_occupancy
Pu1 0.0000 0.0000 0.0000 1
Sc1 0.0000 0.0000 0.3413 1
Ga1 0.5000 0.5000 0.1806 1
Ga2 0.5000 0.5000 0.5000 1
```